(1)
First-principles (PBE) data for crystalline Pr6Sn2Pt at its relaxed geometry, as listed in the Alexandria database.

```
data_Pr6Sn2Pt
_cell_length_a 6.433
_cell_length_b 8.704
_cell_length_c 12.293
_cell_angle_alpha 90.00
_cell_angle_beta 121.24
_cell_angle_gamma 90.00
_space_group_name_H-M_alt 'P 1'
_space_group_IT_number 1
loop_
_space_group_symop_operation_xyz
'x,y,z'
loop_
_atom_site_label
_atom_site_type_symbol
_atom_site_fract_x
_atom_site_fract_y
_atom_site_fract_z
Pr1 Pr 0.069 0.175 0.449
Pr2 Pr 0.069 0.325 0.949
Pr3 Pr 0.318 0.677 0.449
Pr4 Pr 0.318 0.823 0.949
Pr5 Pr 0.350 0.029 0.239
Pr6 Pr 0.350 0.471 0.739
Pr7 Pr 0.650 0.529 0.261
Pr8 Pr 0.650 0.971 0.761
Pr9 Pr 0.682 0.177 0.051
Pr10 Pr 0.682 0.323 0.551
Pr11 Pr 0.931 0.675 0.051
Pr12 Pr 0.931 0.825 0.551
Sn1 Sn 0.168 0.117 0.754
Sn2 Sn 0.168 0.383 0.254
Sn3 Sn 0.832 0.617 0.746
Sn4 Sn 0.832 0.883 0.246
Pt1 Pt 0.500 0.000 0.500
Pt2 Pt 0.500 0.500 0.000
```

## Properties
* M_tot: 0.00 μB per formula unit
* DFT formation energy: -0.567 eV/atom
* density of states at the Fermi level: 23.86 states/eV/cell

***

(2)
First-principles (PBE) data for crystalline Pr12Sn6Pt at its relaxed geometry, as listed in the Alexandria database.

```
data_Pr12Sn6Pt
_cell_length_a 8.997
_cell_length_b 8.997
_cell_length_c 8.997
_cell_angle_alpha 99.30
_cell_angle_beta 99.30
_cell_angle_gamma 99.30
_space_group_name_H-M_alt 'P 1'
_space_group_IT_number 1
loop_
_space_group_symop_operation_xyz
'x,y,z'
loop_
_atom_site_label
_atom_site_type_symbol
_atom_site_fract_x
_atom_site_fract_y
_atom_site_fract_z
Pr1 Pr 0.021 0.680 0.944
Pr2 Pr 0.056 0.979 0.320
Pr3 Pr 0.193 0.428 0.566
Pr4 Pr 0.320 0.056 0.979
Pr5 Pr 0.428 0.566 0.193
Pr6 Pr 0.434 0.807 0.572
Pr7 Pr 0.566 0.193 0.428
Pr8 Pr 0.572 0.434 0.807
Pr9 Pr 0.680 0.944 0.021
Pr10 Pr 0.807 0.572 0.434
Pr11 Pr 0.944 0.021 0.680
Pr12 Pr 0.979 0.320 0.056
Sn1 Sn 0.124 0.636 0.309
Sn2 Sn 0.309 0.124 0.636
Sn3 Sn 0.364 0.691 0.876
Sn4 Sn 0.636 0.309 0.124
Sn5 Sn 0.691 0.876 0.364
Sn6 Sn 0.876 0.364 0.691
Pt1 Pt 0.000 0.000 0.000
```

## Properties
* M_tot: 0.00 μB per formula unit
* DFT formation energy: -0.470 eV/atom
* density of states at the Fermi level: 23.56 states/eV/cell

***

(3)
First-principles (PBE) data for crystalline Pr4SnPt at its relaxed geometry, as listed in the Alexandria database.

```
data_Pr4SnPt
_cell_length_a 10.967
_cell_length_b 10.967
_cell_length_c 6.555
_cell_angle_alpha 90.00
_cell_angle_beta 90.00
_cell_angle_gamma 150.18
_space_group_name_H-M_alt 'P 1'
_space_group_IT_number 1
loop_
_space_group_symop_operation_xyz
'x,y,z'
loop_
_atom_site_label
_atom_site_type_symbol
_atom_site_fract_x
_atom_site_fract_y
_atom_site_fract_z
Pr1 Pr 0.052 0.948 0.750
Pr2 Pr 0.201 0.799 0.505
Pr3 Pr 0.201 0.799 0.995
Pr4 Pr 0.397 0.603 0.750
Pr5 Pr 0.603 0.397 0.250
Pr6 Pr 0.799 0.201 0.005
Pr7 Pr 0.799 0.201 0.495
Pr8 Pr 0.948 0.052 0.250
Sn1 Sn 0.346 0.654 0.250
Sn2 Sn 0.654 0.346 0.750
Pt1 Pt 0.081 0.919 0.250
Pt2 Pt 0.919 0.081 0.750
```

## Properties
* M_tot: 0.00 μB per formula unit
* DFT formation energy: -0.555 eV/atom
* ΔE to the lowest computed polymorph: 77 meV/atom
* density of states at the Fermi level: 15.06 states/eV/cell

***

(4)
First-principles (PBE) data for crystalline PrSnPt4 at its relaxed geometry, as listed in the Alexandria database.

```
data_PrSnPt4
_cell_length_a 9.647
_cell_length_b 9.647
_cell_length_c 5.854
_cell_angle_alpha 90.00
_cell_angle_beta 90.00
_cell_angle_gamma 154.32
_space_group_name_H-M_alt 'P 1'
_space_group_IT_number 1
loop_
_space_group_symop_operation_xyz
'x,y,z'
loop_
_atom_site_label
_atom_site_type_symbol
_atom_site_fract_x
_atom_site_fract_y
_atom_site_fract_z
Pr1 Pr 0.084 0.916 0.750
Pr2 Pr 0.916 0.084 0.250
Sn1 Sn 0.227 0.773 0.250
Sn2 Sn 0.773 0.227 0.750
Pt1 Pt 0.076 0.924 0.250
Pt2 Pt 0.342 0.658 0.518
Pt3 Pt 0.342 0.658 0.982
Pt4 Pt 0.500 0.500 0.000
Pt5 Pt 0.500 0.500 0.500
Pt6 Pt 0.658 0.342 0.018
Pt7 Pt 0.658 0.342 0.482
Pt8 Pt 0.924 0.076 0.750
```

## Properties
* M_tot: 0.00 μB per formula unit
* DFT formation energy: -0.721 eV/atom
* ΔE to the lowest computed polymorph: 20 meV/atom
* density of states at the Fermi level: 4.20 states/eV/cell

***

(5)
First-principles (PBE) data for crystalline Pr2Sn3Pt5 at its relaxed geometry, as listed in the Alexandria database.

```
data_Pr2Sn3Pt5
_cell_length_a 13.281
_cell_length_b 13.281
_cell_length_c 7.683
_cell_angle_alpha 90.00
_cell_angle_beta 90.00
_cell_angle_gamma 161.56
_space_group_name_H-M_alt 'P 1'
_space_group_IT_number 1
loop_
_space_group_symop_operation_xyz
'x,y,z'
loop_
_atom_site_label
_atom_site_type_symbol
_atom_site_fract_x
_atom_site_fract_y
_atom_site_fract_z
Pr1 Pr 0.022 0.978 0.500
Pr2 Pr 0.321 0.679 0.381
Pr3 Pr 0.679 0.321 0.881
Pr4 Pr 0.978 0.022 0.000
Sn1 Sn 0.119 0.881 0.230
Sn2 Sn 0.283 0.717 0.857
Sn3 Sn 0.447 0.553 0.329
Sn4 Sn 0.553 0.447 0.829
Sn5 Sn 0.717 0.283 0.357
Sn6 Sn 0.881 0.119 0.730
Pt1 Pt 0.108 0.892 0.732
Pt2 Pt 0.203 0.797 0.587
Pt3 Pt 0.220 0.780 0.143
Pt4 Pt 0.381 0.619 0.985
Pt5 Pt 0.452 0.548 0.692
Pt6 Pt 0.548 0.452 0.192
Pt7 Pt 0.619 0.381 0.485
Pt8 Pt 0.780 0.220 0.643
Pt9 Pt 0.797 0.203 0.087
Pt10 Pt 0.892 0.108 0.232
```

## Properties
* M_tot: 0.00 μB per formula unit
* DFT formation energy: -0.824 eV/atom
* density of states at the Fermi level: 10.46 states/eV/cell

***

(6)
First-principles (PBE) data for crystalline Pr2Sn3Pt at its relaxed geometry, as listed in the Alexandria database.

```
data_Pr2Sn3Pt
_cell_length_a 6.228
_cell_length_b 6.228
_cell_length_c 7.505
_cell_angle_alpha 126.28
_cell_angle_beta 126.28
_cell_angle_gamma 44.40
_space_group_name_H-M_alt 'P 1'
_space_group_IT_number 1
loop_
_space_group_symop_operation_xyz
'x,y,z'
loop_
_atom_site_label
_atom_site_type_symbol
_atom_site_fract_x
_atom_site_fract_y
_atom_site_fract_z
Pr1 Pr 0.000 0.000 0.000
Pr2 Pr 0.127 0.127 0.615
Sn1 Sn 0.402 0.402 0.219
Sn2 Sn 0.684 0.684 0.952
Sn3 Sn 0.744 0.744 0.421
Pt1 Pt 0.388 0.388 0.577
```

## Properties
* M_tot: 0.00 μB per formula unit
* DFT formation energy: -0.783 eV/atom
* ΔE to the lowest computed polymorph: 0 meV/atom
* density of states at the Fermi level: 3.45 states/eV/cell

***

(7)
First-principles (PBE) data for crystalline Pr8SnPt2 at its relaxed geometry, as listed in the Alexandria database.

```
data_Pr8SnPt2
_cell_length_a 8.314
_cell_length_b 8.314
_cell_length_c 5.640
_cell_angle_alpha 97.38
_cell_angle_beta 97.38
_cell_angle_gamma 114.10
_space_group_name_H-M_alt 'P 1'
_space_group_IT_number 1
loop_
_space_group_symop_operation_xyz
'x,y,z'
loop_
_atom_site_label
_atom_site_type_symbol
_atom_site_fract_x
_atom_site_fract_y
_atom_site_fract_z
Pr1 Pr 0.074 0.320 0.574
Pr2 Pr 0.247 0.753 0.000
Pr3 Pr 0.320 0.074 0.574
Pr4 Pr 0.387 0.387 0.191
Pr5 Pr 0.613 0.613 0.809
Pr6 Pr 0.680 0.926 0.426
Pr7 Pr 0.753 0.247 0.000
Pr8 Pr 0.926 0.680 0.426
Sn1 Sn 0.000 0.000 0.000
Pt1 Pt 0.311 0.689 0.500
Pt2 Pt 0.689 0.311 0.500
```

## Properties
* M_tot: 0.00 μB per formula unit
* DFT formation energy: -0.481 eV/atom
* density of states at the Fermi level: 15.55 states/eV/cell

***

(8)
First-principles (PBE) data for crystalline Pr2SnPt at its relaxed geometry, as listed in the Alexandria database.

```
data_Pr2SnPt
_cell_length_a 3.619
_cell_length_b 3.619
_cell_length_c 8.184
_cell_angle_alpha 90.00
_cell_angle_beta 90.00
_cell_angle_gamma 90.00
_space_group_name_H-M_alt 'P 1'
_space_group_IT_number 1
loop_
_space_group_symop_operation_xyz
'x,y,z'
loop_
_atom_site_label
_atom_site_type_symbol
_atom_site_fract_x
_atom_site_fract_y
_atom_site_fract_z
Pr1 Pr 0.000 0.000 0.220
Pr2 Pr 0.000 0.000 0.780
Sn1 Sn 0.500 0.500 0.500
Pt1 Pt 0.500 0.500 0.000
```

## Properties
* M_tot: 0.00 μB per formula unit
* DFT formation energy: -0.838 eV/atom
* density of states at the Fermi level: 3.48 states/eV/cell

***

(9)
First-principles (PBE) data for crystalline Pr4SnPt at its relaxed geometry, as listed in the Alexandria database.

```
data_Pr4SnPt
_cell_length_a 6.384
_cell_length_b 7.119
_cell_length_c 8.439
_cell_angle_alpha 90.00
_cell_angle_beta 93.71
_cell_angle_gamma 90.00
_space_group_name_H-M_alt 'P 1'
_space_group_IT_number 1
loop_
_space_group_symop_operation_xyz
'x,y,z'
loop_
_atom_site_label
_atom_site_type_symbol
_atom_site_fract_x
_atom_site_fract_y
_atom_site_fract_z
Pr1 Pr 0.108 0.005 0.225
Pr2 Pr 0.108 0.495 0.225
Pr3 Pr 0.349 0.250 0.621
Pr4 Pr 0.385 0.750 0.923
Pr5 Pr 0.615 0.250 0.077
Pr6 Pr 0.651 0.750 0.379
Pr7 Pr 0.892 0.505 0.775
Pr8 Pr 0.892 0.995 0.775
Sn1 Sn 0.206 0.750 0.553
Sn2 Sn 0.794 0.250 0.447
Pt1 Pt 0.185 0.250 0.945
Pt2 Pt 0.815 0.750 0.055
```

## Properties
* M_tot: 0.00 μB per formula unit
* DFT formation energy: -0.631 eV/atom
* ΔE to the lowest computed polymorph: 0 meV/atom
* density of states at the Fermi level: 13.65 states/eV/cell

***

(10)
First-principles (PBE) data for crystalline Pr3Sn2Pt4 at its relaxed geometry, as listed in the Alexandria database.

```
data_Pr3Sn2Pt4
_cell_length_a 6.110
_cell_length_b 6.110
_cell_length_c 9.057
_cell_angle_alpha 112.78
_cell_angle_beta 112.78
_cell_angle_gamma 43.46
_space_group_name_H-M_alt 'P 1'
_space_group_IT_number 1
loop_
_space_group_symop_operation_xyz
'x,y,z'
loop_
_atom_site_label
_atom_site_type_symbol
_atom_site_fract_x
_atom_site_fract_y
_atom_site_fract_z
Pr1 Pr 0.000 0.000 0.000
Pr2 Pr 0.366 0.366 0.302
Pr3 Pr 0.634 0.634 0.698
Sn1 Sn 0.335 0.335 0.669
Sn2 Sn 0.665 0.665 0.331
Pt1 Pt 0.081 0.081 0.416
Pt2 Pt 0.283 0.283 0.935
Pt3 Pt 0.717 0.717 0.065
Pt4 Pt 0.919 0.919 0.584
```

## Properties
* M_tot: 0.00 μB per formula unit
* DFT formation energy: -0.999 eV/atom
* density of states at the Fermi level: 5.08 states/eV/cell

***

(11)
First-principles (PBE) data for crystalline PrSn3Pt2 at its relaxed geometry, as listed in the Alexandria database.

```
data_PrSn3Pt2
_cell_length_a 8.742
_cell_length_b 8.742
_cell_length_c 8.213
_cell_angle_alpha 114.07
_cell_angle_beta 114.07
_cell_angle_gamma 29.09
_space_group_name_H-M_alt 'P 1'
_space_group_IT_number 1
loop_
_space_group_symop_operation_xyz
'x,y,z'
loop_
_atom_site_label
_atom_site_type_symbol
_atom_site_fract_x
_atom_site_fract_y
_atom_site_fract_z
Pr1 Pr 0.121 0.121 0.142
Pr2 Pr 0.879 0.879 0.858
Sn1 Sn 0.041 0.041 0.684
Sn2 Sn 0.320 0.320 0.110
Sn3 Sn 0.337 0.337 0.533
Sn4 Sn 0.663 0.663 0.467
Sn5 Sn 0.680 0.680 0.890
Sn6 Sn 0.959 0.959 0.316
Pt1 Pt 0.215 0.215 0.703
Pt2 Pt 0.495 0.495 0.165
Pt3 Pt 0.505 0.505 0.835
Pt4 Pt 0.785 0.785 0.297
```

## Properties
* M_tot: 0.00 μB per formula unit
* DFT formation energy: -0.700 eV/atom
* density of states at the Fermi level: 4.42 states/eV/cell

***

(12)
First-principles (PBE) data for crystalline PrSn3Pt3 at its relaxed geometry, as listed in the Alexandria database.

```
data_PrSn3Pt3
_cell_length_a 7.283
_cell_length_b 7.283
_cell_length_c 7.283
_cell_angle_alpha 90.00
_cell_angle_beta 90.00
_cell_angle_gamma 90.00
_space_group_name_H-M_alt 'P 1'
_space_group_IT_number 1
loop_
_space_group_symop_operation_xyz
'x,y,z'
loop_
_atom_site_label
_atom_site_type_symbol
_atom_site_fract_x
_atom_site_fract_y
_atom_site_fract_z
Pr1 Pr 0.000 0.000 0.000
Pr2 Pr 0.500 0.500 0.500
Sn1 Sn 0.000 0.250 0.500
Sn2 Sn 0.000 0.750 0.500
Sn3 Sn 0.250 0.500 0.000
Sn4 Sn 0.500 0.000 0.250
Sn5 Sn 0.500 0.000 0.750
Sn6 Sn 0.750 0.500 0.000
Pt1 Pt 0.000 0.500 0.250
Pt2 Pt 0.000 0.500 0.750
Pt3 Pt 0.250 0.000 0.500
Pt4 Pt 0.500 0.250 0.000
Pt5 Pt 0.500 0.750 0.000
Pt6 Pt 0.750 0.000 0.500
```

## Properties
* M_tot: 0.00 μB per formula unit
* DFT formation energy: -0.307 eV/atom
* density of states at the Fermi level: 9.03 states/eV/cell

***

Question: Among the records above, which one has the highest DFT formation energy?
Answer: PrSn3Pt3